# MgIn2O

MgIn2O after structural relaxation (PBE, Alexandria).

Final energy in eV/f.u.: -13.8
Magnetic moment in Bohr magnetons per cell: 0.00
DOS(E_F) in states/eV/atom: 0.17
Formation energy from raw total energies in eV per atom: -0.43
Density in g cm⁻³: 5.3
Relative energy among the computed polymorphs in eV per atom: 0.000
Space-group type: No. 122
Calculated volume in Å³/cell: 169.5

Cell: 6.0395 6.0395 6.0395 Å, 108.93 108.93 110.57°
Positions (direct):
1 Mg 0.0000 0.0000 0.0000
2 Mg 0.7500 0.2500 0.5000
3 In 0.1994 0.6250 0.0744
4 In 0.3750 0.4494 0.5744
5 In 0.5506 0.1250 0.9256
6 In 0.8750 0.8006 0.4256
7 O 0.2500 0.7500 0.5000
8 O 0.5000 0.5000 0.0000

# MgInO

MgInO after structural relaxation (PBE, Alexandria).

Final energy in eV/f.u.: -13.7
Magnetic moment in Bohr magnetons per cell: 0.00
DOS(E_F) in states/eV/atom: 0.13
Formation energy from raw total energies in eV per atom: -1.47
Density in g cm⁻³: 4.5
Relative energy among the computed polymorphs in eV per atom: 0.116
Space-group type: No. 44
Calculated volume in Å³/cell: 115.3

Cell: 8.2161 8.2161 8.2161 Å, 154.01 151.61 38.86°
Positions (direct):
1 Mg 0.0000 0.0000 0.0000
2 Mg 0.4517 0.4517 0.0000
3 In 0.2667 0.7667 0.5000
4 In 0.6672 0.1672 0.5000
5 O 0.5158 0.0158 0.5000
6 O 0.9544 0.4544 0.5000

# Mg2InO

Mg2InO after structural relaxation (PBE, Alexandria).

Final energy in eV/f.u.: -15.4
Magnetic moment in Bohr magnetons per cell: 0.00
DOS(E_F) in states/eV/atom: 0.28
Formation energy from raw total energies in eV per atom: -1.14
Density in g cm⁻³: 3.7
Relative energy among the computed polymorphs in eV per atom: 0.000
Space-group type: No. 122
Calculated volume in Å³/cell: 160.9

Cell: 6.0908 6.0908 6.0908 Å, 119.51 119.51 90.86°
Positions (direct):
1 Mg 0.3750 0.2310 0.3560
2 Mg 0.7690 0.1250 0.1440
3 Mg 0.8750 0.0190 0.6440
4 Mg 0.9810 0.6250 0.8560
5 In 0.2500 0.7500 0.5000
6 In 0.5000 0.5000 0.0000
7 O 0.0000 0.0000 0.0000
8 O 0.7500 0.2500 0.5000

# MgInO

MgInO after structural relaxation (PBE, Alexandria).

Final energy in eV/f.u.: -13.6
Magnetic moment in Bohr magnetons per cell: 0.00
DOS(E_F) in states/eV/atom: 0.26
Formation energy from raw total energies in eV per atom: -1.44
Density in g cm⁻³: 4.8
Relative energy among the computed polymorphs in eV per atom: 0.149
Space-group type: No. 1
Calculated volume in Å³/cell: 54.0

Cell: 3.3151 3.3291 5.9544 Å, 89.97 73.95 60.16°
Positions (direct):
1 Mg 0.0000 0.0000 0.0000
2 In 0.9999 0.4997 0.5047
3 O 0.2779 0.3621 0.0830